Here is a relaxed BaTcO3 crystal from Alexandria. Energies are from PBE.

## Properties
theoretical density: 4.47 g/cm³
ΔE_f (raw): -1.98 eV per atom
total magnetization: 0.00 μB per formula unit

a b c (Å): 6.6885 6.8452 11.1389
angles (deg): 90.00 124.40 90.00
With the nearest neighbours (Å) after each atom.
Element x y z (fractional)
Ba  0.2233  0.1164  0.2714  5 O 2.68-2.85
Ba  0.2233  0.3836  0.7714  5 O 2.68-2.85
Ba  0.7767  0.6164  0.2286  5 O 2.68-2.85
Ba  0.7767  0.8836  0.7286  5 O 2.68-2.85
Tc  0.1544  0.6041  0.0718  3 O 1.82-1.83
Tc  0.1544  0.8959  0.5718  3 O 1.82-1.83
Tc  0.8456  0.1041  0.4282  3 O 1.82-1.83
Tc  0.8456  0.3959  0.9282  3 O 1.82-1.83
O  0.0085  0.7042  0.6116  1 Tc 1.83
O  0.0085  0.7958  0.1116  1 Tc 1.83
O  0.2634  0.6720  0.9596  1 Tc 1.83
O  0.2634  0.8280  0.4596  1 Tc 1.83
O  0.3807  0.0424  0.7262  1 Tc 1.82
O  0.3807  0.4576  0.2262  1 Tc 1.82
O  0.6193  0.5424  0.7738  1 Tc 1.82
O  0.6193  0.9576  0.2738  1 Tc 1.82
O  0.7366  0.1720  0.5404  1 Tc 1.83
O  0.7366  0.3280  0.0404  1 Tc 1.83
O  0.9915  0.2042  0.8884  1 Tc 1.83
O  0.9915  0.2958  0.3884  1 Tc 1.83

Here is a relaxed BaTcO2 crystal from Alexandria. Energies are from PBE.

## Properties
theoretical density: 6.17 g/cm³
ΔE_f (raw): -1.26 eV per atom
E above lowest polymorph: 0.30 eV/f.u.
total magnetization: 0.00 μB per formula unit

a b c (Å): 6.8234 6.8234 6.8234
angles (deg): 137.39 137.39 61.84
With the nearest neighbours (Å) after each atom.
Element x y z (fractional)
Ba  0.0000  0.0000  0.0000  4 O 2.74
Ba  0.7500  0.2500  0.5000  4 O 2.74
Tc  0.2500  0.7500  0.5000  4 O 1.99
Tc  0.5000  0.5000  0.0000  4 O 1.99
O  0.2683  0.6250  0.1433  2 Tc 1.99
O  0.3750  0.5183  0.6433  2 Tc 1.99
O  0.4817  0.1250  0.8567  2 Tc 1.99
O  0.8750  0.7317  0.3567  2 Tc 1.99

Here is a relaxed Ba2TcO6 crystal from Alexandria. Energies are from PBE.

## Properties
theoretical density: 5.36 g/cm³
ΔE_f (raw): -1.83 eV per atom
E above lowest polymorph: 0.38 eV/f.u.
total magnetization: 1.09 μB per formula unit

a b c (Å): 5.9001 5.9001 5.9001
angles (deg): 60.00 60.00 60.00
With the nearest neighbours (Å) after each atom.
Element x y z (fractional)
Ba  0.2500  0.2500  0.2500  12 O 2.96
Ba  0.7500  0.7500  0.7500  12 O 2.96
Tc  0.0000  0.0000  0.0000  6 O 1.89
O  0.2270  0.2270  0.7730  1 Tc 1.89
O  0.2270  0.7730  0.2270  1 Tc 1.89
O  0.2270  0.7730  0.7730  1 Tc 1.89
O  0.7730  0.2270  0.2270  1 Tc 1.89
O  0.7730  0.2270  0.7730  1 Tc 1.89
O  0.7730  0.7730  0.2270  1 Tc 1.89

Here is a relaxed BaTcO2 crystal from Alexandria. Energies are from PBE.

## Properties
theoretical density: 6.74 g/cm³
ΔE_f (raw): -0.90 eV per atom
E above lowest polymorph: 1.73 eV/f.u.
total magnetization: 0.00 μB per formula unit

a b c (Å): 6.5509 6.5509 6.5509
angles (deg): 30.92 30.92 30.92
With the nearest neighbours (Å) after each atom.
Element x y z (fractional)
Ba  0.0000  0.0000  0.0000  2 O 2.50
Tc  0.5000  0.5000  0.5000  6 O 2.11
O  0.1340  0.1340  0.1340  3 Tc 2.11, 3 O 2.36
O  0.8660  0.8660  0.8660  3 Tc 2.11, 3 O 2.36

| no. | total energy (eV/atom) |
| --- | --- |
| 1 | -7.41 |
| 2 | -6.81 |
| 3 | -6.72 |
| 4 | -6.45 |